*i*
TlZn2Pb2 | the Alexandria database | PBE | optimized geometry; spin magnetization = 0.000 μB per formula unit
1.0
8.8971 0.0000 0.0000
0.0000 8.8971 0.0000
0.0000 0.0000 3.3345
Tl Zn Pb
2 4 4
Direct
0.0000 0.0000 0.0000
0.5000 0.5000 0.0000
0.1553 0.3447 0.5000
0.3447 0.8447 0.5000
0.6553 0.1553 0.5000
0.8447 0.6553 0.5000
0.1418 0.6418 0.0000
0.3582 0.1418 0.0000
0.6418 0.8582 0.0000
0.8582 0.3582 0.0000

---

*ii*
TlZn2Pb2 | the Alexandria database | PBE | optimized geometry; spin magnetization = 0.000 μB per formula unit
1.0
8.1207 0.0000 0.0000
0.0000 8.1207 0.0000
0.0000 0.0000 3.8812
Tl Zn Pb
2 4 4
Direct
0.0000 0.0000 0.0000
0.5000 0.5000 0.0000
0.1146 0.3854 0.0000
0.3854 0.8854 0.0000
0.6146 0.1146 0.0000
0.8854 0.6146 0.0000
0.1828 0.6828 0.5000
0.3172 0.1828 0.5000
0.6828 0.8172 0.5000
0.8172 0.3172 0.5000

---

*iii*
TlZn2Pb2 | the Alexandria database | PBE | optimized geometry; spin magnetization = 0.000 μB per formula unit
1.0
-1.8461 1.8461 9.7324
1.8461 -1.8461 9.7324
1.8461 1.8461 -9.7324
Tl Zn Pb
1 2 2
Direct
0.0000 0.0000 0.0000
0.2500 0.7500 0.5000
0.7500 0.2500 0.5000
0.3755 0.3755 0.0000
0.6245 0.6245 0.0000

---

How far above the most stable structure does each one sit? In meV per atom: *i* 104; *ii* 47; *iii* 0.

---

*i*
Tl2ZnPb2 | the Alexandria database | PBE | optimized geometry; spin magnetization = 0.000 μB per formula unit
1.0
-2.1540 2.1540 8.4592
2.1540 -2.1540 8.4592
2.1540 2.1540 -8.4592
Tl Zn Pb
2 1 2
Direct
0.2500 0.7500 0.5000
0.7500 0.2500 0.5000
0.0000 0.0000 0.0000
0.4066 0.4066 0.0000
0.5934 0.5934 0.0000

---

*ii*
Tl2ZnPb2 | the Alexandria database | PBE | optimized geometry; spin magnetization = 0.000 μB per formula unit
1.0
7.4747 0.0000 0.0000
0.0000 7.4747 0.0000
0.0000 0.0000 5.2733
Tl Zn Pb
4 2 4
Direct
0.1501 0.3499 0.0000
0.3499 0.8499 0.0000
0.6501 0.1501 0.0000
0.8499 0.6501 0.0000
0.0000 0.0000 0.0000
0.5000 0.5000 0.0000
0.1620 0.6620 0.5000
0.3380 0.1620 0.5000
0.6620 0.8380 0.5000
0.8380 0.3380 0.5000

---

*iii*
Tl2ZnPb2 | the Alexandria database | PBE | optimized geometry; spin magnetization = 0.000 μB per formula unit
1.0
7.5579 0.0000 0.0000
0.0000 7.5579 0.0000
0.0000 0.0000 5.3634
Tl Zn Pb
4 2 4
Direct
0.1609 0.3391 0.0000
0.3391 0.8391 0.0000
0.6609 0.1609 0.0000
0.8391 0.6609 0.0000
0.0000 0.0000 0.5000
0.5000 0.5000 0.5000
0.1509 0.6509 0.5000
0.3491 0.1509 0.5000
0.6509 0.8491 0.5000
0.8491 0.3491 0.5000

---

How far above the most stable structure does each one sit? In meV per atom: *i* 149; *ii* 44; *iii* 0.

---

*i*
Tl2Zn2Pb | the Alexandria database | PBE | optimized geometry; spin magnetization = 0.000 μB per formula unit
1.0
7.9698 0.0000 0.0000
0.0000 7.9698 0.0000
0.0000 0.0000 3.9745
Tl Zn Pb
4 4 2
Direct
0.1772 0.3228 0.0000
0.3228 0.8228 0.0000
0.6772 0.1772 0.0000
0.8228 0.6772 0.0000
0.1183 0.6183 0.5000
0.3817 0.1183 0.5000
0.6183 0.8817 0.5000
0.8817 0.3817 0.5000
0.0000 0.0000 0.5000
0.5000 0.5000 0.5000

---

*ii*
Tl2Zn2Pb | the Alexandria database | PBE | optimized geometry; spin magnetization = 0.000 μB per formula unit
1.0
-2.4107 2.4107 5.6612
2.4107 -2.4107 5.6612
2.4107 2.4107 -5.6612
Tl Zn Pb
2 2 1
Direct
0.2500 0.7500 0.5000
0.7500 0.2500 0.5000
0.1065 0.1065 0.0000
0.8935 0.8935 0.0000
0.5000 0.5000 0.0000

---

*iii*
Tl2Zn2Pb | the Alexandria database | PBE | optimized geometry; spin magnetization = 0.000 μB per formula unit
1.0
8.7504 0.0000 0.0000
0.0000 8.7504 0.0000
0.0000 0.0000 3.3614
Tl Zn Pb
4 4 2
Direct
0.1422 0.3578 0.0000
0.3578 0.8578 0.0000
0.6422 0.1422 0.0000
0.8578 0.6422 0.0000
0.1578 0.6578 0.5000
0.3422 0.1578 0.5000
0.6578 0.8422 0.5000
0.8422 0.3422 0.5000
0.0000 0.0000 0.0000
0.5000 0.5000 0.0000

---

How far above the most stable structure does each one sit? In meV per atom: *i* 0; *ii* 74; *iii* 85.

---

*i*
TlZnPb | the Alexandria database | PBE | optimized geometry; spin magnetization = 0.000 μB per formula unit
1.0
0.0000 3.4853 3.4853
3.4853 0.0000 3.4853
3.4853 3.4853 0.0000
Tl Zn Pb
1 1 1
Direct
0.0000 0.0000 0.0000
0.2500 0.2500 0.2500
0.5000 0.5000 0.5000

---

*ii*
TlZnPb | the Alexandria database | PBE | optimized geometry; spin magnetization = 0.000 μB per formula unit
1.0
0.0000 2.8242 7.4621
1.9150 0.0000 7.4621
1.9150 2.8242 0.0000
Tl Zn Pb
1 1 1
Direct
0.0000 0.0000 0.0000
0.3485 0.3485 0.6515
0.6975 0.6975 0.3025

---

*iii*
TlZnPb | the Alexandria database | PBE | optimized geometry; spin magnetization = 0.000 μB per formula unit
1.0
0.0000 5.3201 5.5189
2.6802 0.0000 5.5189
2.6802 5.3201 0.0000
Tl Zn Pb
2 2 2
Direct
0.1583 0.8417 0.1583
0.8417 0.1583 0.8417
0.2500 0.2500 0.2500
0.7500 0.7500 0.7500
0.3439 0.3439 0.6561
0.6561 0.6561 0.3439

---

How far above the most stable structure does each one sit? In meV per atom: *i* 81; *ii* 75; *iii* 0.

---

*i*
TlZnPb3 | the Alexandria database | PBE | optimized geometry; spin magnetization = 0.000 μB per formula unit
1.0
5.4779 0.0000 0.0000
0.0000 5.4779 0.0000
0.0000 0.0000 5.4779
Tl Zn Pb
1 1 3
Direct
0.0000 0.0000 0.0000
0.5000 0.5000 0.5000
0.0000 0.5000 0.5000
0.5000 0.0000 0.5000
0.5000 0.5000 0.0000

---

*ii*
TlZnPb3 | the Alexandria database | PBE | optimized geometry; spin magnetization = 0.000 μB per formula unit
1.0
5.9180 0.0000 0.0000
0.0000 5.9180 0.0000
0.0000 0.0000 5.9180
Tl Zn Pb
1 1 3
Direct
0.0000 0.0000 0.0000
0.5000 0.5000 0.5000
0.0000 0.0000 0.5000
0.0000 0.5000 0.0000
0.5000 0.0000 0.0000

---

How far above the most stable structure does each one sit? In meV per atom: *i* 0; *ii* 445.

---

*i*
Zr2TlPb | the Alexandria database | PBE | optimized geometry; spin magnetization = 0.000 μB per formula unit
1.0
3.2847 0.0000 0.0000
0.0000 5.1113 0.0000
-0.3243 0.0000 5.8544
Zr Tl Pb
2 1 1
Direct
0.2440 0.0000 0.2502
0.7560 0.0000 0.7498
0.5000 0.5000 0.0000
0.0000 0.5000 0.5000

---

*ii*
Zr2TlPb | the Alexandria database | PBE | optimized geometry; spin magnetization = 0.000 μB per formula unit
1.0
0.0000 3.6174 3.6174
3.6174 0.0000 3.6174
3.6174 3.6174 0.0000
Zr Tl Pb
2 1 1
Direct
0.2500 0.2500 0.2500
0.7500 0.7500 0.7500
0.0000 0.0000 0.0000
0.5000 0.5000 0.5000

---

*iii*
Zr2TlPb | the Alexandria database | PBE | optimized geometry; spin magnetization = 0.000 μB per formula unit
1.0
3.2563 0.0000 0.0000
0.0000 3.2563 0.0000
0.0000 0.0000 9.7530
Zr Tl Pb
2 1 1
Direct
0.0000 0.0000 0.0000
0.5000 0.5000 0.2199
0.5000 0.5000 0.7563
0.0000 0.0000 0.4683

---

How far above the most stable structure does each one sit? In meV per atom: *i* 0; *ii* 80; *iii* 73.

---

*i*
ZrTlPb2 | the Alexandria database | PBE | optimized geometry; spin magnetization = 0.000 μB per formula unit
1.0
-4.3120 4.3120 3.1400
4.3120 -4.3120 3.1400
4.3120 4.3120 -3.1400
Zr Tl Pb
2 2 4
Direct
0.0000 0.0000 0.0000
0.7500 0.2500 0.5000
0.2500 0.7500 0.5000
0.5000 0.5000 0.0000
0.1049 0.1250 0.4799
0.3750 0.8951 0.0201
0.6451 0.6250 0.5201
0.8750 0.3549 0.9799

---

*ii*
ZrTlPb2 | the Alexandria database | PBE | optimized geometry; spin magnetization = 0.000 μB per formula unit
1.0
6.1467 -1.6908 0.0000
6.1467 1.6908 0.0000
-2.4346 0.0000 5.1205
Zr Tl Pb
1 1 2
Direct
0.0000 0.0000 0.0000
0.7358 0.7358 0.3873
0.2621 0.2621 0.9134
0.4943 0.4943 0.5133

---

How far above the most stable structure does each one sit? In meV per atom: *i* 235; *ii* 0.

---

*i*
ZrTlPb2 | the Alexandria database | PBE | optimized geometry; spin magnetization = 0.000 μB per formula unit
1.0
5.6592 0.0000 0.0000
0.0000 5.6592 0.0000
0.0000 0.0000 3.3558
Zr Tl Pb
1 1 2
Direct
0.0000 0.0000 0.0000
0.5000 0.5000 0.0000
0.0000 0.5000 0.5000
0.5000 0.0000 0.5000

---

*ii*
ZrTlPb2 | the Alexandria database | PBE | optimized geometry; spin magnetization = 1.018 μB per formula unit
1.0
0.0000 3.8218 3.8218
3.8218 0.0000 3.8218
3.8218 3.8218 0.0000
Zr Tl Pb
1 1 2
Direct
0.0000 0.0000 0.0000
0.7500 0.7500 0.7500
0.2500 0.2500 0.2500
0.5000 0.5000 0.5000

---

How far above the most stable structure does each one sit? In meV per atom: *i* 0; *ii* 233.